a) This record from Alexandria via LeMat-Bulk describes a geometry-optimized Ti2Mo2H structure. The functional is GGA-PBE.

Cell: 3.3721 3.3721 7.2130 Å, 76.48 76.48 90.00°
Last column: nearest neighbours and their distance in Å.
Element x y z (fractional)
H 0.0000 0.0000 0.0000  8 Mo 2.64
Mo 0.4161 0.4161 0.1677  1 Mo 2.28
Mo 0.5839 0.5839 0.8323  1 Mo 2.28
Ti 0.7500 0.2500 0.5000  4 Ti 2.38
Ti 0.2500 0.7500 0.5000  4 Ti 2.38

Calculated values
SG ... I4/mmm

b) This record from Alexandria via LeMat-Bulk describes a geometry-optimized Ti2Mo2H structure. The functional is GGA-PBE.

Cell: 5.3786 5.3786 4.9345 Å, 90.00 90.00 90.00°
Last column: nearest neighbours and their distance in Å.
Element x y z (fractional)
H 0.0000 0.0000 0.0000  4 Mo 2.01
H 0.5000 0.5000 0.0000  4 Mo 2.01
Mo 0.3375 0.8375 0.0000  2 H 2.01
Mo 0.8375 0.6625 0.0000  2 H 2.01
Mo 0.6625 0.1625 0.0000  2 H 2.01
Mo 0.1625 0.3375 0.0000  2 H 2.01
Ti 0.1614 0.6614 0.5000  1 Ti 2.46
Ti 0.6614 0.8386 0.5000  1 Ti 2.46
Ti 0.8386 0.3386 0.5000  1 Ti 2.46
Ti 0.3386 0.1614 0.5000  1 Ti 2.46

Calculated values
SG ... P4/mbm

Tell me which of them is the most stable. Sure, it is b).

a) This record from Alexandria via LeMat-Bulk describes a geometry-optimized TlMo3H structure. The functional is GGA-PBE.

Cell: 4.1296 4.1296 4.1296 Å, 90.00 90.00 90.00°
Last column: nearest neighbours and their distance in Å.
Element x y z (fractional)
H 0.0000 0.0000 0.0000  6 Mo 2.06
Tl 0.5000 0.5000 0.5000  12 Mo 2.92
Mo 0.0000 0.5000 0.0000  2 H 2.06
Mo 0.0000 0.0000 0.5000  2 H 2.06
Mo 0.5000 0.0000 0.0000  2 H 2.06

Calculated values
SG ... Pm-3m

b) This record from Alexandria via LeMat-Bulk describes a geometry-optimized TlMo3H structure. The functional is GGA-PBE.

Cell: 5.0369 5.0369 5.0369 Å, 90.00 90.00 90.00°
Last column: nearest neighbours and their distance in Å.
Element x y z (fractional)
H 0.5000 0.5000 0.5000  12 Mo 3.56
Tl 0.0000 0.0000 0.0000  6 Mo 2.52
Mo 0.0000 0.5000 0.0000  2 Tl 2.52
Mo 0.0000 0.0000 0.5000  2 Tl 2.52
Mo 0.5000 0.0000 0.0000  2 Tl 2.52

Calculated values
SG ... Pm-3m

Tell me which of them is the most stable. Sure, it is a).